Below is a relaxed structure of Sc2NiC2, with properties calculated at the PBE level.

Final energy (eV/cell): -68.29
Offset from the most stable computed form (meV/atom): 897.9
DFT formation energy (eV per atom): 0.549

Structure (CIF):
```
data_Sc2NiC2
_space_group_name_H-M_alt 'I 4/m m m'
_space_group_IT_number 139
_space_group_name_Hall '-I 4 2'
_cell_length_a 3.0588
_cell_length_b 3.0588
_cell_length_c 13.8933
_cell_angle_alpha 90.00
_cell_angle_beta 90.00
_cell_angle_gamma 90.00
loop_
_atom_site_label
_atom_site_fract_x
_atom_site_fract_y
_atom_site_fract_z
Sc1 0.0000 0.0000 0.1280
Ni1 0.0000 0.0000 0.5000
C1 0.0000 0.5000 0.2500
```